i.
YZr2Ni, relaxed, DFT GGA-PBEsol; N(E_F) = 1.54 states/eV/atom
1.0
4.152 0.000 0.000
0.000 4.152 0.000
0.000 0.000 4.708
Ni Y Zr
1 1 2
direct
0.500 0.500 0.500
0.000 0.000 0.500
0.000 0.500 0.000
0.500 0.000 0.000

***

ii.
YZr2Ni, relaxed, DFT GGA-PBEsol; N(E_F) = 1.00 states/eV/atom
1.0
-2.470 -2.075 -0.016
1.066 -1.249 -2.777
4.410 -5.281 4.068
Y Ni Zr
1 1 2
direct
0.500 0.500 0.706
0.000 0.000 0.467
0.000 0.000 0.033
0.500 0.500 0.294

***

Referenced to the most stable arrangement, the calculated values in kJ/mol of atoms are i 27.9; ii 0.0.